Entry 1:
First-principles (PBE) data for Cd2TcSeI after structural relaxation, as listed in the Alexandria database.

**E_tot**: -2.86 eV/atom
**DOS(E_F)**: 3.06 states/eV/cell
**Symmetry**: P4/mmm, No. 123

POSCAR file:
```
Cd2TcSeI
1.0
5.5913 0.0000 0.0000
0.0000 4.8373 0.0000
0.0000 0.0000 5.5913
I Tc Se Cd
1 1 1 2
Cartesian
2.7956 2.4186 2.7956 I
0.0000 2.4186 0.0000 Tc
0.0000 0.0000 0.0000 Se
0.0000 0.0000 2.7956 Cd
2.7956 0.0000 0.0000 Cd
```

=====

Entry 2:
First-principles (PBE) data for SiWBr after structural relaxation, as listed in the Alexandria database.

**E_tot**: -5.65 eV/atom
**DOS(E_F)**: 2.03 states/eV/cell
**Symmetry**: F-43m, No. 216

POSCAR file:
```
SiWBr
1.0
-1.1058 4.2684 0.2625
-2.8679 1.3535 3.0748
1.4009 2.4390 3.4058
Br Si W
1 1 1
Cartesian
0.0000 0.0000 0.0000 Br
-1.2864 4.0305 3.3715 Si
-0.6432 2.0152 1.6858 W
```

=====

Entry 3:
First-principles (PBE) data for TePdCI2 after structural relaxation, as listed in the Alexandria database.

**E_tot**: -2.84 eV/atom
**DOS(E_F)**: 6.28 states/eV/cell
**Symmetry**: P4/mmm, No. 123

POSCAR file:
```
TePdCI2
1.0
-4.1014 -1.1461 2.8051
0.3530 -4.8692 -1.4732
2.7329 -0.8996 3.6282
I C Te Pd
2 1 1 1
Cartesian
0.1765 -2.4346 -0.7366 I
-2.0507 -0.5730 1.4026 I
0.0000 0.0000 0.0000 C
1.3664 -0.4498 1.8141 Te
-0.5077 -3.4574 2.4801 Pd
```

=====

Entry 4:
First-principles (PBE) data for Ta4TlCu after structural relaxation, as listed in the Alexandria database.

**DOS(E_F)**: 5.95 states/eV/cell
**Calculated formation energy**: 0.6775 eV/atom
**Symmetry**: F-43m, No. 216

POSCAR file:
```
Ta4TlCu
1.0
2.2048 -1.7579 4.7279
-2.8586 -3.3664 3.2863
1.5186 -5.2637 0.5395
Ta Tl Cu
4 1 1
Cartesian
1.4305 -4.7729 5.5765 Ta
1.0861 -6.5325 3.4743 Ta
-1.1109 -5.5802 4.8529 Ta
0.3239 -3.8906 3.2035 Ta
0.6486 -7.7911 6.4152 Tl
0.0000 0.0000 0.0000 Cu
```

=====

Entry 5:
First-principles (PBE) data for Mn3CdSe after structural relaxation, as listed in the Alexandria database.

**E_tot**: -5.90 eV/atom
**DOS(E_F)**: 4.70 states/eV/cell
**Symmetry**: Pm-3m, No. 221

POSCAR file:
```
Mn3CdSe
1.0
-1.9765 -0.0289 4.1321
-2.6816 -3.4760 -1.3070
3.1440 -2.9830 1.4829
Mn Se Cd
3 1 1
Cartesian
-1.3408 -1.7380 -0.6535 Mn
1.5720 -1.4915 0.7415 Mn
-0.9882 -0.0145 2.0661 Mn
0.0000 0.0000 0.0000 Se
-0.7570 -3.2440 2.1541 Cd
```

=====

Entry 6:
First-principles (PBE) data for PmInHgBi after structural relaxation, as listed in the Alexandria database.

**DOS(E_F)**: 2.47 states/eV/cell
**Calculated formation energy**: -0.4441 eV/atom
**Symmetry**: Pmmm, No. 47

POSCAR file:
```
PmInHgBi
1.0
-3.6586 2.4034 1.5159
-0.2001 -2.7537 3.8830
3.0347 3.1237 2.3716
Pm In Hg Bi
1 1 1 1
Cartesian
1.4173 0.1850 3.1273 Pm
0.0000 0.0000 0.0000 In
-1.9293 -0.1751 2.6995 Hg
-0.3120 2.7635 1.9438 Bi
```

=====

Entry 7:
First-principles (PBE) data for Zr2TaMo after structural relaxation, as listed in the Alexandria database.

**DOS(E_F)**: 5.60 states/eV/cell
**Calculated formation energy**: 0.2393 eV/atom
**Symmetry**: Pmmm, No. 47

POSCAR file:
```
Zr2TaMo
1.0
2.9178 0.0000 0.0000
0.0000 4.8566 0.0000
0.0000 0.0000 5.5698
Mo Ta Zr
1 1 2
Cartesian
1.4589 2.4283 1.3924 Mo
1.4589 2.4283 4.1773 Ta
0.0000 0.0000 0.0157 Zr
0.0000 0.0000 2.7692 Zr
```

=====

Entry 8:
First-principles (PBE) data for CsLi4Sc3Cl12 after structural relaxation, as listed in the Alexandria database.

**E_tot**: -4.35 eV/atom
**DOS(E_F)**: 10.65 states/eV/cell
**Symmetry**: R32, No. 155

POSCAR file:
```
CsLi4Sc3Cl12
1.0
-2.9709 7.8205 -2.7120
-5.2245 -6.3086 -3.2011
-0.2548 -0.2636 8.7868
Cs Li Sc Cl
1 4 3 12
Cartesian
0.0000 0.0000 0.0000 Cs
-3.2783 6.5609 1.6424 Li
-3.0839 -2.7726 6.2683 Li
-6.3133 -1.9158 -3.6002 Li
-4.2252 0.6242 1.4368 Li
-3.9266 1.8289 -2.9194 Sc
-1.4066 3.1646 3.9106 Sc
-3.1171 -3.7451 1.8825 Sc
-3.4229 1.6000 3.3720 Cl
-5.3469 3.9630 -3.3122 Cl
-5.1559 -5.2113 1.2348 Cl
-2.1726 3.1208 6.3879 Cl
-5.8908 -3.2117 -1.7168 Cl
-2.7464 -0.4735 6.3401 Cl
-4.1083 5.5680 -0.2890 Cl
-5.9189 0.3737 -3.5131 Cl
-3.8679 -3.7429 4.3065 Cl
-2.8187 5.2313 3.4933 Cl
-4.6636 1.9292 -0.4194 Cl
-4.5889 -1.6566 1.3579 Cl
```